VASP calculation (PBE-GGA) on a relaxed structure of Na2CaHgF6.

Results
The uncorrected formation energy is -26.94 eV/f.u. The total energy comes out at -4.311 eV/atom. The total magnetization comes out at 0.00 μB/cell.

Unit cell a=5.8933 b=5.8933 c=15.4863 alpha=90.00 beta=90.00 gamma=120.00
Space group R3 (No. 146, hexagonal axes)
Symmetry-distinct sites (fractional):
Na1 0.0000 0.0000 0.0000
Na2 0.0000 0.0000 0.4970
Ca1 0.0000 0.0000 0.7089
Hg1 0.0000 0.0000 0.2109
F1 0.0380 0.6774 0.7725
F2 0.0441 0.3739 0.2751